Density functional theory data (PBE) for Bi4PdI after structural relaxation.

Geometry as extended XYZ:
```
12
Lattice="7.1244 0.0000 0.7066 0.0000 9.0532 0.0000 -1.2884 -4.5266 6.9391" Properties=species:S:1:pos:R:3 pbc="T T T"
Pd 4.9990 4.5266 0.5744
Pd 0.8369 0.0000 7.0713
I 1.0708 0.0000 2.0709
I 4.7651 4.5266 5.5747
Bi 0.6598 4.5266 2.5701
Bi 2.4263 -1.6890 5.5759
Bi 0.0000 6.4059 0.0000
Bi 3.4096 6.2156 2.0698
Bi 5.1762 0.0000 5.0756
Bi 0.0000 2.6473 0.0000
Bi 2.4263 1.6890 5.5759
Bi 3.4096 2.8375 2.0698
```

Output
VASP energy = -45.9 eV for the cell shown
space group = No. 12
DOS at the Fermi energy = 0.050 states/eV per atom
total magnetic moment = 0.000 μB per atom
crystal system = monoclinic


Density functional theory data (PBE) for BiPd2SI after structural relaxation.

Geometry as extended XYZ:
```
5
Lattice="-0.3502 -1.8440 -4.6185 3.8131 -3.0717 0.9373 -3.3821 -3.6726 1.7227" Properties=species:S:1:pos:R:3 pbc="T T T"
S -1.6910 -1.8363 0.8614
Pd -0.1751 -0.9220 -2.3093
Pd 1.9065 -1.5359 0.4687
I 0.0000 0.0000 0.0000
Bi 0.0404 -4.2942 -0.9792
```

Output
VASP energy = -16.7 eV for the cell shown
space group = No. 123
DOS at the Fermi energy = 0.443 states/eV per atom
total magnetic moment = 0.000 μB per atom
crystal system = tetragonal


Density functional theory data (PBE) for BiTe2PdI after structural relaxation.

Geometry as extended XYZ:
```
5
Lattice="-4.8097 -1.8990 -1.3104 -0.7823 -1.5079 5.0567 -2.1932 4.8010 1.0923" Properties=species:S:1:pos:R:3 pbc="T T T"
Pd 0.0000 0.0000 0.0000
Bi -3.8926 0.6971 2.4193
Te -2.4048 -0.9495 -0.6552
Te -0.3912 -0.7539 2.5284
I -1.0966 2.4005 0.5462
```

Output
VASP energy = -16.0 eV for the cell shown
space group = No. 123
DOS at the Fermi energy = 0.989 states/eV per atom
total magnetic moment = 0.000 μB per atom
crystal system = tetragonal